*1*
# RbSb2TeBr (GGA-PBE, optimized geometry)
# Total magnetic moment: 0.98 μB/f.u.
# DOS(E_F): 6.08 states/eV per cell
# Calculated volume: 39.20 Å³ per atom
data_RbSb2TeBr
_chemical_formula_sum 'Rb1 Sb2 Te1 Br1'
_symmetry_space_group_name_H-M 'P 4/m m m'
_symmetry_Int_Tables_number 123
_symmetry_space_group_name_Hall '-P 4 2'
_cell_length_a 5.676
_cell_length_b 5.676
_cell_length_c 6.083
_cell_angle_alpha 90.00
_cell_angle_beta 90.00
_cell_angle_gamma 90.00
loop_
_atom_site_label
_atom_site_type_symbol
_atom_site_fract_x
_atom_site_fract_y
_atom_site_fract_z
Rb1 Rb 0.000 0.000 0.000
Sb1 Sb 0.000 0.500 0.500
Te1 Te 0.500 0.500 0.000
Br1 Br 0.500 0.500 0.500

*2*
# RbSb2TeBr (GGA-PBE, optimized geometry)
# Total magnetic moment: 6.00 μB/f.u.
# DOS(E_F): 14.03 states/eV per cell
# Calculated volume: 66.42 Å³ per atom
data_RbSb2TeBr
_chemical_formula_sum 'Rb1 Sb2 Te1 Br1'
_symmetry_space_group_name_H-M 'P 4/m m m'
_symmetry_Int_Tables_number 123
_symmetry_space_group_name_Hall '-P 4 2'
_cell_length_a 7.087
_cell_length_b 7.087
_cell_length_c 6.613
_cell_angle_alpha 90.00
_cell_angle_beta 90.00
_cell_angle_gamma 90.00
loop_
_atom_site_label
_atom_site_type_symbol
_atom_site_fract_x
_atom_site_fract_y
_atom_site_fract_z
Rb1 Rb 0.000 0.000 0.000
Sb1 Sb 0.000 0.500 0.000
Te1 Te 0.000 0.000 0.500
Br1 Br 0.500 0.500 0.500

Which one sits at the bottom of the stability order? *2* does.

*1*
# RbScSe2Br (GGA-PBE, optimized geometry)
# Total magnetic moment: 0.10 μB/f.u.
# DOS(E_F): 4.77 states/eV per cell
# Calculated volume: 30.67 Å³ per atom
data_RbScSe2Br
_chemical_formula_sum 'Rb1 Sc1 Se2 Br1'
_symmetry_space_group_name_H-M 'P 4/m m m'
_symmetry_Int_Tables_number 123
_symmetry_space_group_name_Hall '-P 4 2'
_cell_length_a 5.196
_cell_length_b 5.196
_cell_length_c 5.679
_cell_angle_alpha 90.00
_cell_angle_beta 90.00
_cell_angle_gamma 90.00
loop_
_atom_site_label
_atom_site_type_symbol
_atom_site_fract_x
_atom_site_fract_y
_atom_site_fract_z
Rb1 Rb 0.000 0.000 0.000
Sc1 Sc 0.500 0.500 0.500
Se1 Se 0.000 0.500 0.500
Br1 Br 0.500 0.500 0.000

*2*
# RbScSe2Br (GGA-PBE, optimized geometry)
# Total magnetic moment: 0.56 μB/f.u.
# DOS(E_F): 6.72 states/eV per cell
# Calculated volume: 37.17 Å³ per atom
data_RbScSe2Br
_chemical_formula_sum 'Rb1 Sc1 Se2 Br1'
_symmetry_space_group_name_H-M 'P 4/m m m'
_symmetry_Int_Tables_number 123
_symmetry_space_group_name_Hall '-P 4 2'
_cell_length_a 5.682
_cell_length_b 5.682
_cell_length_c 5.757
_cell_angle_alpha 90.00
_cell_angle_beta 90.00
_cell_angle_gamma 90.00
loop_
_atom_site_label
_atom_site_type_symbol
_atom_site_fract_x
_atom_site_fract_y
_atom_site_fract_z
Rb1 Rb 0.000 0.000 0.000
Sc1 Sc 0.500 0.500 0.500
Se1 Se 0.000 0.500 0.000
Br1 Br 0.000 0.000 0.500

*3*
# RbScSe2Br (GGA-PBE, optimized geometry)
# Total magnetic moment: 0.00 μB/f.u.
# DOS(E_F): 2.53 states/eV per cell
# Calculated volume: 58.72 Å³ per atom
data_RbScSe2Br
_chemical_formula_sum 'Rb1 Sc1 Se2 Br1'
_symmetry_space_group_name_H-M 'P 4/m m m'
_symmetry_Int_Tables_number 123
_symmetry_space_group_name_Hall '-P 4 2'
_cell_length_a 5.022
_cell_length_b 5.022
_cell_length_c 11.641
_cell_angle_alpha 90.00
_cell_angle_beta 90.00
_cell_angle_gamma 90.00
loop_
_atom_site_label
_atom_site_type_symbol
_atom_site_fract_x
_atom_site_fract_y
_atom_site_fract_z
Rb1 Rb 0.000 0.000 0.000
Sc1 Sc 0.000 0.000 0.500
Se1 Se 0.000 0.500 0.500
Br1 Br 0.500 0.500 0.000

Which one sits at the bottom of the stability order? *2* does.

*1*
# Rb2ScTlBr6 (GGA-PBE, optimized geometry)
# Total magnetic moment: 0.00 μB/f.u.
# DOS(E_F): 0.00 states/eV per cell
# Calculated volume: 37.95 Å³ per atom
data_Rb2ScTlBr6
_chemical_formula_sum 'Rb4 Sc2 Tl2 Br12'
_symmetry_space_group_name_H-M 'P 1 21/c 1'
_symmetry_Int_Tables_number 14
_symmetry_space_group_name_Hall '-P 2ybc'
_cell_length_a 7.924
_cell_length_b 8.372
_cell_length_c 13.903
_cell_angle_alpha 90.00
_cell_angle_beta 124.62
_cell_angle_gamma 90.00
loop_
_atom_site_label
_atom_site_type_symbol
_atom_site_fract_x
_atom_site_fract_y
_atom_site_fract_z
Rb1 Rb 0.223 0.075 0.248
Sc1 Sc 0.000 0.000 0.500
Tl1 Tl 0.500 0.000 0.000
Br1 Br 0.112 0.229 0.946
Br2 Br 0.228 0.673 0.951
Br3 Br 0.322 0.027 0.722

*2*
# Rb2ScTlBr6 (GGA-PBE, optimized geometry)
# Total magnetic moment: 0.00 μB/f.u.
# DOS(E_F): 0.00 states/eV per cell
# Calculated volume: 39.67 Å³ per atom
data_Rb2ScTlBr6
_chemical_formula_sum 'Rb8 Sc4 Tl4 Br24'
_symmetry_space_group_name_H-M 'F m -3 m'
_symmetry_Int_Tables_number 225
_symmetry_space_group_name_Hall '-F 4 2 3'
_cell_length_a 11.664
_cell_length_b 11.664
_cell_length_c 11.664
_cell_angle_alpha 90.00
_cell_angle_beta 90.00
_cell_angle_gamma 90.00
loop_
_atom_site_label
_atom_site_type_symbol
_atom_site_fract_x
_atom_site_fract_y
_atom_site_fract_z
Rb1 Rb 0.250 0.250 0.250
Sc1 Sc 0.000 0.000 0.000
Tl1 Tl 0.000 0.000 0.500
Br1 Br 0.000 0.000 0.228

Which one sits at the bottom of the stability order? *2* does.

*1*
# RbSe2Br (GGA-PBE, optimized geometry)
# Total magnetic moment: 0.00 μB/f.u.
# DOS(E_F): 11.67 states/eV per cell
# Calculated volume: 42.44 Å³ per atom
data_RbSe2Br
_chemical_formula_sum 'Rb3 Se6 Br3'
_symmetry_space_group_name_H-M 'R -3 m'
_symmetry_Int_Tables_number 166
_symmetry_space_group_name_Hall '-R 3 2"'
_cell_length_a 4.5342
_cell_length_b 4.5342
_cell_length_c 28.6018
_cell_angle_alpha 90.00
_cell_angle_beta 90.00
_cell_angle_gamma 120.00
loop_
_atom_site_label
_atom_site_type_symbol
_atom_site_fract_x
_atom_site_fract_y
_atom_site_fract_z
Rb1 Rb 0.0000 0.0000 0.0000
Se1 Se 0.0000 0.0000 0.4134
Br1 Br 0.0000 0.0000 0.5000

*2*
# RbSe2Br (GGA-PBE, optimized geometry)
# Total magnetic moment: 0.00 μB/f.u.
# DOS(E_F): 7.45 states/eV per cell
# Calculated volume: 34.82 Å³ per atom
data_RbSe2Br
_chemical_formula_sum 'Rb3 Se6 Br3'
_symmetry_space_group_name_H-M 'R -3 m'
_symmetry_Int_Tables_number 166
_symmetry_space_group_name_Hall '-R 3 2"'
_cell_length_a 5.1635
_cell_length_b 5.1635
_cell_length_c 18.0938
_cell_angle_alpha 90.00
_cell_angle_beta 90.00
_cell_angle_gamma 120.00
loop_
_atom_site_label
_atom_site_type_symbol
_atom_site_fract_x
_atom_site_fract_y
_atom_site_fract_z
Rb1 Rb 0.0000 0.0000 0.0000
Se1 Se 0.0000 0.0000 0.1809
Br1 Br 0.0000 0.0000 0.5000

*3*
# RbSe2Br (GGA-PBE, optimized geometry)
# Total magnetic moment: 0.00 μB/f.u.
# DOS(E_F): 0.00 states/eV per cell
# Calculated volume: 41.85 Å³ per atom
data_RbSe2Br
_chemical_formula_sum 'Rb4 Se8 Br4'
_symmetry_space_group_name_H-M 'P 1 21/c 1'
_symmetry_Int_Tables_number 14
_symmetry_space_group_name_Hall '-P 2ybc'
_cell_length_a 11.802
_cell_length_b 5.717
_cell_length_c 10.349
_cell_angle_alpha 90.00
_cell_angle_beta 106.49
_cell_angle_gamma 90.00
loop_
_atom_site_label
_atom_site_type_symbol
_atom_site_fract_x
_atom_site_fract_y
_atom_site_fract_z
Rb1 Rb 0.150 0.054 0.212
Se1 Se 0.399 0.050 0.650
Se2 Se 0.434 0.717 0.336
Br1 Br 0.155 0.552 0.391

*4*
# RbSe2Br (GGA-PBE, optimized geometry)
# Total magnetic moment: 4.00 μB/f.u.
# DOS(E_F): 11.61 states/eV per cell
# Calculated volume: 33.09 Å³ per atom
data_RbSe2Br
_chemical_formula_sum 'Rb4 Se8 Br4'
_symmetry_space_group_name_H-M 'F m -3 m'
_symmetry_Int_Tables_number 225
_symmetry_space_group_name_Hall '-F 4 2 3'
_cell_length_a 8.090
_cell_length_b 8.090
_cell_length_c 8.090
_cell_angle_alpha 90.00
_cell_angle_beta 90.00
_cell_angle_gamma 90.00
loop_
_atom_site_label
_atom_site_type_symbol
_atom_site_fract_x
_atom_site_fract_y
_atom_site_fract_z
Rb1 Rb 0.000 0.000 0.000
Se1 Se 0.250 0.250 0.250
Br1 Br 0.000 0.000 0.500

Which one sits at the bottom of the stability order? *4* does.

*1*
# Rb3SeBr6 (GGA-PBE, optimized geometry)
# Total magnetic moment: 1.00 μB/f.u.
# DOS(E_F): 0.00 states/eV per cell
# Calculated volume: 42.87 Å³ per atom
data_Rb3SeBr6
_chemical_formula_sum 'Rb6 Se2 Br12'
_symmetry_space_group_name_H-M 'I 4/m m m'
_symmetry_Int_Tables_number 139
_symmetry_space_group_name_Hall '-I 4 2'
_cell_length_a 8.183
_cell_length_b 8.183
_cell_length_c 12.804
_cell_angle_alpha 90.00
_cell_angle_beta 90.00
_cell_angle_gamma 90.00
loop_
_atom_site_label
_atom_site_type_symbol
_atom_site_fract_x
_atom_site_fract_y
_atom_site_fract_z
Rb1 Rb 0.000 0.000 0.000
Rb2 Rb 0.000 0.500 0.250
Se1 Se 0.000 0.000 0.500
Br1 Br 0.000 0.000 0.254
Br2 Br 0.222 0.222 0.500

*2*
# Rb3SeBr6 (GGA-PBE, optimized geometry)
# Total magnetic moment: 1.02 μB/f.u.
# DOS(E_F): 1.05 states/eV per cell
# Calculated volume: 40.40 Å³ per atom
data_Rb3SeBr6
_chemical_formula_sum 'Rb6 Se2 Br12'
_symmetry_space_group_name_H-M 'P 1 21/c 1'
_symmetry_Int_Tables_number 14
_symmetry_space_group_name_Hall '-P 2ybc'
_cell_length_a 8.600
_cell_length_b 7.499
_cell_length_c 13.993
_cell_angle_alpha 90.00
_cell_angle_beta 116.46
_cell_angle_gamma 90.00
loop_
_atom_site_label
_atom_site_type_symbol
_atom_site_fract_x
_atom_site_fract_y
_atom_site_fract_z
Rb1 Rb 0.000 0.000 0.000
Rb2 Rb 0.265 0.052 0.774
Se1 Se 0.500 0.000 0.500
Br1 Br 0.162 0.517 0.768
Br2 Br 0.344 0.695 0.084
Br3 Br 0.381 0.217 0.050

Which one sits at the bottom of the stability order? *1* does.

*1*
# RbSe2Br8 (GGA-PBE, optimized geometry)
# Total magnetic moment: 0.00 μB/f.u.
# DOS(E_F): 3.27 states/eV per cell
# Calculated volume: 42.31 Å³ per atom
data_RbSe2Br8
_chemical_formula_sum 'Rb1 Se2 Br8'
_symmetry_space_group_name_H-M 'P -3'
_symmetry_Int_Tables_number 147
_symmetry_space_group_name_Hall '-P 3'
_cell_length_a 9.8741
_cell_length_b 9.8741
_cell_length_c 5.5106
_cell_angle_alpha 90.00
_cell_angle_beta 90.00
_cell_angle_gamma 120.00
loop_
_atom_site_label
_atom_site_type_symbol
_atom_site_fract_x
_atom_site_fract_y
_atom_site_fract_z
Rb1 Rb 0.0000 0.0000 0.0000
Se1 Se 0.3333 0.6667 0.2726
Br1 Br 0.1854 0.3749 0.2864
Br2 Br 0.3333 0.6667 0.7834

*2*
# RbSe2Br8 (GGA-PBE, optimized geometry)
# Total magnetic moment: 0.00 μB/f.u.
# DOS(E_F): 3.12 states/eV per cell
# Calculated volume: 38.26 Å³ per atom
data_RbSe2Br8
_chemical_formula_sum 'Rb2 Se4 Br16'
_symmetry_space_group_name_H-M 'C 1 2/m 1'
_symmetry_Int_Tables_number 12
_symmetry_space_group_name_Hall '-C 2y'
_cell_length_a 12.712
_cell_length_b 8.057
_cell_length_c 9.509
_cell_angle_alpha 90.00
_cell_angle_beta 120.19
_cell_angle_gamma 90.00
loop_
_atom_site_label
_atom_site_type_symbol
_atom_site_fract_x
_atom_site_fract_y
_atom_site_fract_z
Rb1 Rb 0.000 0.000 0.000
Se1 Se 0.146 0.000 0.641
Br1 Br 0.103 0.252 0.754
Br2 Br 0.113 0.500 0.120
Br3 Br 0.209 0.000 0.429

Which one sits at the bottom of the stability order? *1* does.

*1*
# Rb4SeBr2 (GGA-PBE, optimized geometry)
# Total magnetic moment: 0.00 μB/f.u.
# Calculated volume: 43.23 Å³ per atom
data_Rb4SeBr2
_chemical_formula_sum 'Rb16 Se4 Br8'
_symmetry_space_group_name_H-M 'P n m a'
_symmetry_Int_Tables_number 62
_symmetry_space_group_name_Hall '-P 2ac 2n'
_cell_length_a 14.206
_cell_length_b 4.863
_cell_length_c 17.522
_cell_angle_alpha 90.00
_cell_angle_beta 90.00
_cell_angle_gamma 90.00
loop_
_atom_site_label
_atom_site_type_symbol
_atom_site_fract_x
_atom_site_fract_y
_atom_site_fract_z
Rb1 Rb 0.031 0.250 0.206
Rb2 Rb 0.078 0.250 0.591
Rb3 Rb 0.169 0.750 0.025
Rb4 Rb 0.245 0.750 0.290
Se1 Se 0.235 0.750 0.652
Br1 Br 0.062 0.250 0.901
Br2 Br 0.108 0.250 0.393

*2*
# Rb4SeBr2 (GGA-PBE, optimized geometry)
# Total magnetic moment: 0.00 μB/f.u.
# Calculated volume: 54.00 Å³ per atom
data_Rb4SeBr2
_chemical_formula_sum 'Rb8 Se2 Br4'
_symmetry_space_group_name_H-M 'I 4/m m m'
_symmetry_Int_Tables_number 139
_symmetry_space_group_name_Hall '-I 4 2'
_cell_length_a 6.451
_cell_length_b 6.451
_cell_length_c 18.165
_cell_angle_alpha 90.00
_cell_angle_beta 90.00
_cell_angle_gamma 90.00
loop_
_atom_site_label
_atom_site_type_symbol
_atom_site_fract_x
_atom_site_fract_y
_atom_site_fract_z
Rb1 Rb 0.000 0.000 0.178
Rb2 Rb 0.000 0.500 0.000
Se1 Se 0.000 0.000 0.000
Br1 Br 0.000 0.000 0.362

Which one sits at the bottom of the stability order? *2* does.

*1*
# RbSeBr6 (GGA-PBE, optimized geometry)
# Total magnetic moment: 0.00 μB/f.u.
# DOS(E_F): 32.38 states/eV per cell
# Calculated volume: 37.98 Å³ per atom
data_RbSeBr6
_chemical_formula_sum 'Rb3 Se3 Br18'
_symmetry_space_group_name_H-M 'R -3 m'
_symmetry_Int_Tables_number 166
_symmetry_space_group_name_Hall '-R 3 2"'
_cell_length_a 7.3000
_cell_length_b 7.3000
_cell_length_c 19.7502
_cell_angle_alpha 90.00
_cell_angle_beta 90.00
_cell_angle_gamma 120.00
loop_
_atom_site_label
_atom_site_type_symbol
_atom_site_fract_x
_atom_site_fract_y
_atom_site_fract_z
Rb1 Rb 0.0000 0.0000 0.0000
Se1 Se 0.0000 0.0000 0.5000
Br1 Br 0.0004 0.5002 0.0905

*2*
# RbSeBr6 (GGA-PBE, optimized geometry)
# Total magnetic moment: 0.93 μB/f.u.
# DOS(E_F): 1.97 states/eV per cell
# Calculated volume: 35.75 Å³ per atom
data_RbSeBr6
_chemical_formula_sum 'Rb1 Se1 Br6'
_symmetry_space_group_name_H-M 'P -1'
_symmetry_Int_Tables_number 2
_symmetry_space_group_name_Hall '-P 1'
_cell_length_a 6.528
_cell_length_b 6.605
_cell_length_c 7.635
_cell_angle_alpha 99.42
_cell_angle_beta 112.72
_cell_angle_gamma 101.99
loop_
_atom_site_label
_atom_site_type_symbol
_atom_site_fract_x
_atom_site_fract_y
_atom_site_fract_z
Rb1 Rb 0.000 0.000 0.000
Se1 Se 0.000 0.500 0.500
Br1 Br 0.207 0.199 0.558
Br2 Br 0.214 0.604 0.288
Br3 Br 0.347 0.761 0.819

Which one sits at the bottom of the stability order? *1* does.